Record 1
Tb4Pr4Y5 | the Alexandria database | GGA-PBE | relaxed; DFT total energy = -69.72 eV per formula unit
1.0
-1.7745 2.5614 4.0392
-8.6554 3.1542 -2.5812
-4.6807 -6.4702 5.2682
Y Pr Tb
5 4 4
Cartesian
-6.7739 -3.5914 5.7446
-2.9274 -0.2109 2.0692
-12.1831 -0.5437 4.6570
-8.3367 2.8368 0.9816
0.0000 0.0000 0.0000
-6.2306 -0.0634 0.5244
-9.2291 -0.3159 2.5888
-5.8815 -0.4387 4.1374
-8.8800 -0.6912 6.2017
-3.8163 -3.3545 3.6722
-11.2943 2.5999 3.0540
-5.0428 2.6907 2.5214
-10.0678 -3.4453 4.2048

Record 2
Tb8Pr3Y4 | the Alexandria database | GGA-PBE | relaxed; DFT total energy = -71.54 eV per formula unit
1.0
6.8362 -0.0607 -0.0872
-3.3300 8.6311 1.1572
-3.3300 -1.9111 8.4960
Tb Y Pr
8 4 3
Cartesian
-1.7364 4.8713 6.9975
1.9125 1.7881 2.5686
-3.3300 4.8602 3.7823
-1.6811 1.7714 2.5446
-3.3300 1.8599 5.8709
1.8572 4.8879 7.0214
0.0881 0.7427 6.5839
0.0881 5.9166 2.9821
0.0000 0.0000 0.0000
3.4181 -0.0303 -0.0436
-1.6650 4.3155 0.5786
-1.6650 -0.9555 4.2480
1.7531 4.2852 0.5350
1.7531 -0.9859 4.2044
0.0881 3.3297 4.7830

Record 3
Tb2PrY8 | the Alexandria database | GGA-PBE | relaxed; E above lowest polymorph = 0.27 eV/f.u.; DFT total energy = -63.91 eV per formula unit
1.0
-3.7652 -5.5072 -0.4598
3.1007 -1.6436 -5.7049
4.8311 -2.2495 7.2056
Y Tb Pr
8 2 1
Cartesian
0.4302 -3.2380 -0.9054
4.8880 -3.0585 3.5378
2.2697 -5.3848 4.6448
3.7364 -6.1623 1.9463
4.5317 -3.7257 -0.3955
-0.3651 -5.6746 1.4364
1.8968 -4.0154 -3.6038
-0.7214 -6.3418 -2.4969
1.9528 -3.1912 1.9808
2.2137 -6.2091 -0.9398
0.0000 0.0000 0.0000

Record 4
TbPr4Y4 | the Alexandria database | GGA-PBE | relaxed; E above lowest polymorph = 0.03 eV/f.u.; DFT total energy = -49.43 eV per formula unit
1.0
-0.4197 -1.3991 -4.9291
-1.8439 -7.9155 -0.2772
-7.7236 1.0458 -2.3202
Y Pr Tb
4 4 1
Cartesian
-0.7511 -3.0884 -1.7404
-9.2362 -5.1805 -5.7860
-5.4461 -0.2318 -4.8325
-4.5412 -8.0370 -2.6940
-5.7767 -1.9198 -1.6442
-3.4470 -3.2107 -4.1571
-4.2106 -6.3491 -5.8823
-6.5403 -5.0582 -3.3693
0.0000 0.0000 0.0000

Record 5
Tb4Pr3Y | the Alexandria database | GGA-PBE | relaxed; E above lowest polymorph = 0.00 eV/f.u.; DFT total energy = -39.12 eV per formula unit
1.0
-0.3806 -5.5784 2.9985
-2.0009 -3.2536 -6.3069
11.1672 -2.0875 -2.4660
Tb Pr Y
8 6 2
Cartesian
-0.4881 -4.0039 1.1789
7.7812 -7.4330 0.3185
2.1536 -6.3810 1.5613
0.8732 -6.0631 -4.7221
3.7684 -4.7259 -6.3363
5.0915 -5.0572 -0.0640
6.4128 -7.0986 -5.9454
-1.8117 -3.6795 -5.0896
-1.5050 -5.6594 -2.0248
1.8549 -4.4309 -1.5176
7.4518 -5.4771 -2.7536
6.7397 -9.0905 -2.8539
4.7850 -3.0747 -3.1303
1.1695 -8.0493 -1.6238
-0.7969 -2.0155 -1.9026
4.0788 -6.6901 -3.2678

Record 6
Tb5PrY7 | the Alexandria database | GGA-PBE | relaxed; DFT total energy = -70.14 eV per formula unit
1.0
-5.4824 2.1425 -3.1981
-4.5886 -6.5531 -3.5397
-7.0763 0.0422 5.1432
Y Tb Pr
7 5 1
Cartesian
-7.6264 -4.2026 -3.7733
-10.0068 -4.1901 0.3157
-9.2775 0.1748 1.9897
-4.1865 -0.9517 -0.4766
-5.2866 -4.2112 -0.7744
-8.1010 -1.5227 -1.1644
-6.1357 -1.9601 2.1894
-5.0674 -1.8831 -3.3350
-3.2857 0.0075 2.3665
-6.2119 1.1510 0.6595
-12.7156 -3.0735 -1.3085
-2.1413 -3.0266 -1.6281
-5.6941 1.8461 -3.0336

Record 7
TbPrY3 | the Alexandria database | GGA-PBE | relaxed; E above lowest polymorph = 0.00 eV/f.u.; DFT total energy = -28.75 eV per formula unit
1.0
-1.8018 4.8143 2.5806
0.1389 -2.9437 5.5886
8.6251 4.0774 -1.5846
Pr Y Tb
2 6 2
Cartesian
1.7988 4.8075 4.1086
0.9075 2.3481 1.6646
6.8976 7.8127 2.0622
4.4338 3.4203 2.1263
0.0900 2.7928 6.6740
5.2581 5.8405 4.5968
6.2122 2.4488 5.1803
2.7553 1.4191 4.6877
3.4624 6.8009 1.5514
7.8690 4.4321 2.6371

Record 8
Tb3Pr2Y8 | the Alexandria database | GGA-PBE | relaxed; E above lowest polymorph = 1.02 eV/f.u.; DFT total energy = -72.01 eV per formula unit
1.0
-0.5582 5.2109 -2.0255
-7.6139 -0.8898 -0.1910
3.1376 4.1399 9.7858
Y Pr Tb
8 2 3
Cartesian
-0.1734 0.9563 2.5081
-4.0297 0.7634 3.0743
0.8141 5.7081 6.6680
-2.6118 3.1307 0.9813
-2.4226 5.3303 6.5881
-5.8486 2.7529 0.9014
-4.3028 2.2937 7.0867
-0.4466 2.4867 6.5205
-4.4358 4.0761 3.9162
-0.5986 4.3849 3.6531
-0.2791 2.6054 -1.0127
-2.1832 -0.2546 -0.0535
-2.2931 3.5047 9.6483

Record 9
TbPrY2 | the Alexandria database | GGA-PBE | relaxed; E above lowest polymorph = 0.13 eV/f.u.; DFT total energy = -22.14 eV per formula unit
1.0
3.4567 0.0858 0.9397
0.1243 5.5366 -0.9730
-0.1188 -4.3511 7.7313
Y Tb Pr
2 1 1
Cartesian
1.1921 3.9591 2.0823
2.3668 1.5634 4.8646
3.2499 0.9728 1.6034
0.1820 -0.9852 6.3244

Record 10
TbPr5Y6 | the Alexandria database | GGA-PBE | relaxed; DFT total energy = -67.20 eV per formula unit
1.0
-6.6105 -4.3171 -8.9345
4.4821 -2.7824 -3.4481
1.5054 -6.0262 1.0599
Y Pr Tb
6 5 1
Cartesian
-4.0941 -5.4779 -6.6423
3.4712 -7.6478 -4.6805
-0.5258 -1.7713 -3.0880
1.4760 -4.7071 -3.8871
-2.0989 -8.4186 -7.4357
-1.6026 -5.3282 -9.2946
0.9315 -6.4872 -6.9866
-1.0642 -3.5497 -6.1913
1.9960 -2.9352 -0.7967
3.9915 -5.8735 -1.5915
-1.5544 -6.6385 -4.3361
0.0000 0.0000 0.0000

Record 11
Tb3Pr5Y | the Alexandria database | GGA-PBE | relaxed; E above lowest polymorph = 1.82 eV/f.u.; DFT total energy = -39.99 eV per formula unit
1.0
8.1447 -1.3277 1.9262
0.9527 8.1970 1.9262
4.5872 3.4637 12.1393
Pr Tb Y
10 6 2
Cartesian
7.2468 5.4720 12.4290
8.8176 6.6581 9.6826
5.7502 8.0825 9.7769
4.8670 3.6750 6.3091
4.3367 7.0152 6.2148
2.7702 5.7900 1.9262
9.3479 3.3179 9.7769
6.4377 4.8611 3.5627
6.3272 1.0794 1.9262
7.9344 2.2506 6.2148
7.6312 5.7623 6.6996
0.0000 0.0000 0.0000
2.2936 1.7319 6.0697
9.9243 7.4938 12.6065
3.7603 2.8393 3.3853
6.0533 4.5708 9.2922
1.1029 0.8328 2.8486
12.5817 9.5003 13.1432

Record 12
Tb4PrY2 | the Alexandria database | GGA-PBE | relaxed; E above lowest polymorph = 0.57 eV/f.u.; DFT total energy = -35.39 eV per formula unit
1.0
6.1941 0.0000 -0.4374
0.0000 6.5810 0.0000
-2.6570 0.0000 11.4215
Pr Tb Y
2 8 4
Cartesian
0.7538 4.9357 1.5438
2.7833 1.6452 9.4404
0.3113 3.3494 7.9744
3.2258 3.2315 3.0097
-0.3013 4.9357 4.8254
3.2258 0.0589 3.0097
-0.3724 1.6452 1.8278
3.9095 4.9357 9.1564
3.8385 1.6452 6.1587
0.3113 6.5220 7.9744
2.8587 4.9357 6.0022
0.6784 1.6452 4.9820
3.7844 4.9357 -0.1979
-0.2473 1.6452 11.1821